Material: SrSn4Pt4
Method: DFT, PBE-GGA
State: relaxed

Properties
Theoretical density (g/cm3): 10.09
Formation energy (meV per atom): -628
Fermi-level density of states (states/eV per cell): 4.61

a = 9.0710 Å, b = 9.0710 Å, c = 5.3714 Å
α = 90.00°, β = 90.00°, γ = 90.00°
Closest atoms and distances in Å follow each position.
Space group P4_2/n (No. 86, origin choice 2)
Inequivalent atoms, fractional coordinates:
Sr: 0.2500 0.2500 0.2500  4 Pt 3.29, 4 Sn 3.68
Sn: 0.1146 0.6292 0.1661  5 Pt 2.70-2.78
Pt: 0.0712 0.5882 0.6733  5 Sn 2.70-2.78, 1 Pt 2.77